## NbH2 (PBE)

Data for crystalline NbH2 at its relaxed geometry.

Summary:
Its calculated total energy is -17.5 eV/cell.

Lattice parameters (Å, degrees): 3.2245 3.2245 3.2245 89.86 120.08 120.08
Closest atoms and distances in Å follow each position.
Fractional coordinates of all 3 atoms:
Nb 0.0000 0.0000 0.0000  8 H 1.97
H 0.5000 0.2500 0.7500  4 Nb 1.97
H 0.5000 0.7500 0.2500  4 Nb 1.97